Computed, not measured: LaBe3Pt after structural relaxation at the GGA-PBE level of DFT.

Summary:
N(E_F): 2.189 states/eV per cell
ΔE_f: -0.382 eV per atom

a = 4.368 Å, b = 4.368 Å, c = 4.368 Å
α = 90.00°, β = 90.00°, γ = 90.00°
Space group Pm-3m (No. 221)
Unique sites:
La: 0.000 0.000 0.000
Be: 0.000 0.500 0.500
Pt: 0.500 0.500 0.500

=====

Computed, not measured: LiYIrRu after structural relaxation at the GGA-PBE level of DFT.

Summary:
N(E_F): 20.082 states/eV per cell
ΔE_f: -0.075 eV per atom

a = 6.439 Å, b = 6.439 Å, c = 6.439 Å
α = 90.00°, β = 90.00°, γ = 90.00°
Space group F-43m (No. 216)
Unique sites:
Li: 0.000 0.000 0.000
Y: 0.250 0.250 0.250
Ir: 0.250 0.250 0.750
Ru: 0.000 0.000 0.500

=====

Computed, not measured: La3InI after structural relaxation at the GGA-PBE level of DFT.

Summary:
ΔE_f (raw): -0.36 eV per atom
N(E_F): 23.787 states/eV per cell

a = 12.473 Å, b = 6.873 Å, c = 8.645 Å
α = 90.00°, β = 107.56°, γ = 90.00°
Space group C2/m (No. 12)
Unique sites:
La: 0.049 0.000 0.249
La: 0.177 0.252 0.654
In: 0.214 0.000 0.000
I: 0.062 0.500 0.298

=====

Computed, not measured: PuMg2Br6 after structural relaxation at the GGA-PBE level of DFT.

Summary:
ΔE_f (raw): -1.38 eV per atom
N(E_F): 34.230 states/eV per cell

a = 14.078 Å, b = 4.081 Å, c = 11.556 Å
α = 90.00°, β = 96.11°, γ = 90.00°
Space group C2/m (No. 12)
Unique sites:
Pu: 0.000 0.000 0.000
Mg: 0.214 0.500 0.724
Br: 0.109 0.000 0.234
Br: 0.137 0.500 0.918
Br: 0.151 0.000 0.611

=====

Computed, not measured: PdN2Cl2 after structural relaxation at the GGA-PBE level of DFT.

Summary:
ΔE_f (raw): 0.76 eV per atom

a = 3.242 Å, b = 5.682 Å, c = 6.023 Å
α = 77.52°, β = 81.13°, γ = 82.94°
Space group P-1 (No. 2)
Unique sites:
Pd: 0.000 0.000 0.000
N: 0.433 0.134 0.132
Cl: 0.341 0.323 0.311

=====

Computed, not measured: BaMg2ScTe after structural relaxation at the GGA-PBE level of DFT.

Summary:
ΔE_f (raw): 0.29 eV per atom
N(E_F): 7.812 states/eV per cell

a = 5.529 Å, b = 5.529 Å, c = 6.425 Å
α = 90.00°, β = 90.00°, γ = 90.00°
Space group P4/mmm (No. 123)
Unique sites:
Ba: 0.000 0.000 0.000
Mg: 0.000 0.500 0.500
Sc: 0.500 0.500 0.000
Te: 0.000 0.000 0.500